1.
A plane-wave DFT calculation with PBE was carried out for a relaxed Ga2FeHgBi crystal.

Electronic total energy: -3.64 eV/atom
E above lowest polymorph: 0 meV per atom
ρ: 8848 kg/m³

abc: 4.7083 4.7083 5.1205
angles: 90.00 90.00 90.00
Space group P4/mmm (No. 123)
One atom of each set of equivalent atoms:
Ga (0.0000, 0.5000, 0.0000) [2 per cell]
Fe (0.0000, 0.0000, 0.0000) [1 per cell]
Hg (0.5000, 0.5000, 0.5000) [1 per cell]
Bi (0.0000, 0.0000, 0.5000) [1 per cell]

2.
A plane-wave DFT calculation with PBE was carried out for a relaxed Ga2FeHgBi crystal.

Electronic total energy: -2.71 eV/atom
E above lowest polymorph: 922 meV per atom
ρ: 6901 kg/m³

abc: 4.9568 4.9568 5.9233
angles: 90.00 90.00 90.00
Space group P4/mmm (No. 123)
One atom of each set of equivalent atoms:
Ga (0.0000, 0.5000, 0.0000) [2 per cell]
Fe (0.0000, 0.0000, 0.5000) [1 per cell]
Hg (0.5000, 0.5000, 0.0000) [1 per cell]
Bi (0.5000, 0.5000, 0.5000) [1 per cell]

3.
A plane-wave DFT calculation with PBE was carried out for a relaxed GaFe2BiMo crystal.

Electronic total energy: -5.17 eV/atom
ρ: 6554 kg/m³

abc: 4.8435 4.8435 5.2525
angles: 90.00 90.00 90.00
Space group P4/mmm (No. 123)
One atom of each set of equivalent atoms:
Ga (0.0000, 0.0000, 0.0000) [1 per cell]
Fe (0.0000, 0.5000, 0.5000) [2 per cell]
Bi (0.5000, 0.5000, 0.5000) [1 per cell]
Mo (0.5000, 0.5000, 0.0000) [1 per cell]

The following D(E_F) values (in states/eV per cell) correspond, in order, to the records above: 2.3 8.6 5.3.
The following ΔE_f values (in eV per atom) correspond, in order, to the records above: 0.103 1.025 1.763.